An optimized crystal structure of CaAgHg, computed with GGA-PBE.

total magnetization	0.00	μB/f.u.
ρ	7.72	Mg/m³
DFT total energy	-2.093	eV per atom
formation energy	-0.38	eV per atom

Cell: 7.2823 4.8180 11.0250 Å, 90.00 129.19 90.00°
Atoms (fractional coordinates):
Ca  0.7911  0.0000  0.5402
Ca  0.2089  0.0000  0.4598
Ca  0.7911  0.5000  0.0402
Ca  0.2089  0.5000  0.9598
Hg  0.3685  0.0000  0.8285
Hg  0.6315  0.0000  0.1715
Hg  0.3685  0.5000  0.3285
Hg  0.6315  0.5000  0.6715
Ag  0.8029  0.0000  0.8427
Ag  0.1971  0.0000  0.1573
Ag  0.8029  0.5000  0.3427
Ag  0.1971  0.5000  0.6573